Record 1
The following is a PBE with a Hubbard U calculation of an optimized crystal structure of MnH2S2O8, from Alexandria via LeMat-Bulk.

Output
total magnetic moment: 0.38 μB per atom
DFT total energy: -79.82 eV/f.u.
mass density: 2.48 g/cm³

CIF file:
```
data_MnH2S2O8
_chemical_formula_sum 'Mn2 H4 S4 O16'
_symmetry_space_group_name_H-M 'P 1'
_symmetry_Int_Tables_number 1
_symmetry_space_group_name_Hall 'P 1'
_cell_length_a 5.1579
_cell_length_b 7.7939
_cell_length_c 8.4007
_cell_angle_alpha 90.00
_cell_angle_beta 90.00
_cell_angle_gamma 99.20
loop_
_atom_site_label
_atom_site_type_symbol
_atom_site_fract_x
_atom_site_fract_y
_atom_site_fract_z
_atom_site_occupancy
Mn1 Mn 0.5000 0.5000 0.5000 1
S1 S 0.0574 0.7169 0.3186 1
O1 O 0.7165 0.8160 0.8699 1
S2 S 0.5574 0.2169 0.1814 1
O2 O 0.4195 0.7227 0.6512 1
O3 O 0.2835 0.1840 0.1301 1
O4 O 0.7835 0.6840 0.3699 1
O5 O 0.0805 0.7773 0.1512 1
O6 O 0.7027 0.3766 0.0851 1
H1 H 0.7243 0.1654 0.4832 1
O7 O 0.2165 0.3160 0.6301 1
H2 H 0.2243 0.6654 0.0168 1
O8 O 0.3040 0.9313 0.8435 1
Mn2 Mn 0.0000 0.0000 0.0000 1
O9 O 0.6960 0.0687 0.1565 1
H3 H 0.7757 0.3346 0.9833 1
O10 O 0.2027 0.8766 0.4149 1
O11 O 0.2973 0.6234 0.9150 1
O12 O 0.9195 0.2227 0.8488 1
O13 O 0.5805 0.2773 0.3488 1
S3 S 0.4426 0.7831 0.8186 1
S4 S 0.9426 0.2831 0.6814 1
O14 O 0.7973 0.1234 0.5850 1
O15 O 0.1960 0.5687 0.3435 1
H4 H 0.2757 0.8346 0.5167 1
O16 O 0.8040 0.4313 0.6565 1
```



Record 2
The following is a PBE with a Hubbard U calculation of an optimized crystal structure of Li4CrCo3O8, from Alexandria via LeMat-Bulk.

Output
total magnetic moment: 0.44 μB per atom
DFT total energy: -93.35 eV/f.u.
mass density: 4.49 g/cm³

CIF file:
```
data_Li4CrCo3O8
_chemical_formula_sum 'Li4 Cr1 Co3 O8'
_symmetry_space_group_name_H-M 'P 1'
_symmetry_Int_Tables_number 1
_symmetry_space_group_name_Hall 'P 1'
_cell_length_a 5.8861
_cell_length_b 5.8861
_cell_length_c 5.8861
_cell_angle_alpha 59.36
_cell_angle_beta 59.36
_cell_angle_gamma 59.36
loop_
_atom_site_label
_atom_site_type_symbol
_atom_site_fract_x
_atom_site_fract_y
_atom_site_fract_z
_atom_site_occupancy
Li1 Li 0.5000 0.0000 0.0000 1
Co1 Co 0.5000 0.0000 0.5000 1
O1 O 0.7514 0.7514 0.7514 1
O2 O 0.2427 0.2427 0.7299 1
Cr1 Cr 0.0000 0.0000 0.0000 1
Co2 Co 0.0000 0.5000 0.5000 1
O3 O 0.2701 0.7573 0.7573 1
O4 O 0.2486 0.2486 0.2486 1
O5 O 0.2427 0.7299 0.2427 1
Co3 Co 0.5000 0.5000 0.0000 1
O6 O 0.7299 0.2427 0.2427 1
Li2 Li 0.0000 0.0000 0.5000 1
Li3 Li 0.0000 0.5000 0.0000 1
O7 O 0.7573 0.7573 0.2701 1
Li4 Li 0.5000 0.5000 0.5000 1
O8 O 0.7573 0.2701 0.7573 1
```